The following is a DFT calculation (GGA-PBEsol) of crystalline KInGaSi2 at its relaxed geometry.

a = 5.0952 Å, b = 5.0952 Å, c = 5.9241 Å
α = 90.00°, β = 90.00°, γ = 90.00°
Last column: nearest neighbours and their distance in Å.
Atoms (fractional coordinates):
K (0.0000, 0.0000, 0.5000)  2 In 2.96
Si (0.0000, 0.5000, 0.0000)  2 In 2.55
Si (0.5000, 0.0000, 0.0000)  2 In 2.55
Ga (0.5000, 0.5000, 0.5000)  4 K 3.60, 8 Si 3.91
In (0.0000, 0.0000, 0.0000)  4 Si 2.55

Computed properties:
Crystal system: tetragonal
Symmetry: P4/mmm (123)

The following is a DFT calculation (GGA-PBEsol) of crystalline SiAgPt2 at its relaxed geometry.

a = 2.8033 Å, b = 3.9041 Å, c = 5.5595 Å
α = 90.00°, β = 90.00°, γ = 90.00°
Last column: nearest neighbours and their distance in Å.
Atoms (fractional coordinates):
Ag (0.5000, 0.5000, 0.7654)  6 Pt 2.69-2.87, 2 Ag 2.80, 4 Si 2.98
Pt (0.0000, 0.0000, 0.0059)  1 Si 2.45
Pt (0.5000, 0.5000, 0.2817)  4 Si 2.57, 2 Ag 2.69-2.87, 6 Pt 2.80-2.85
Si (0.0000, 0.0000, 0.4471)  5 Pt 2.45-2.57

Computed properties:
Crystal system: orthorhombic
Symmetry: Pmm2 (25)

The following is a DFT calculation (GGA-PBEsol) of crystalline Sr2MnCl at its relaxed geometry.

a = 3.7431 Å, b = 3.9689 Å, c = 8.5846 Å
α = 89.47°, β = 90.00°, γ = 90.00°
Last column: nearest neighbours and their distance in Å.
Atoms (fractional coordinates):
Sr (0.0000, 0.0052, 0.7706)  2 Cl 2.98
Sr (0.0000, 0.9948, 0.2294)  2 Cl 2.98
Mn (0.5000, 0.5000, 0.0000)  8 Sr 3.36-3.37, 2 Mn 3.74
Cl (0.5000, 0.0000, 0.5000)  4 Sr 2.98

Computed properties:
Crystal system: monoclinic
Relative energy among the computed polymorphs (kJ/mol of formula units): 0
Symmetry: P2/m (10)

The following is a DFT calculation (GGA-PBEsol) of crystalline Pr4V5Si4O22 at its relaxed geometry.

a = 5.5320 Å, b = 7.1988 Å, c = 11.0950 Å
α = 99.61°, β = 90.00°, γ = 112.60°
Last column: nearest neighbours and their distance in Å.
Atoms (fractional coordinates):
Pr (0.9286, 0.8572, 0.2514)  8 O 2.41-2.69
Pr (0.0714, 0.1428, 0.7486)  8 O 2.41-2.69
Pr (0.6397, 0.2793, 0.2596)  7 O 2.37-2.55
Pr (0.3603, 0.7207, 0.7404)  7 O 2.37-2.55
V (0.5000, 0.0000, 0.5000)  6 O 2.00-2.04
V (0.0000, 0.5000, 0.0000)  6 O 1.95-2.01
V (0.5000, 0.0000, 0.0000)  6 O 1.96-2.00
V (0.0000, 0.0000, 0.0000)  6 O 1.97-1.98
V (0.5000, 0.5000, 0.0000)  6 O 1.95-2.01
Si (0.1398, 0.2797, 0.4595)  4 O 1.60-1.64
Si (0.8602, 0.7203, 0.5405)  4 O 1.60-1.64
Si (0.2970, 0.5940, 0.2672)  4 O 1.60-1.64
Si (0.7030, 0.4060, 0.7328)  4 O 1.60-1.64
O (0.2213, 0.4426, 0.3660)  2 Si 1.62-1.63
O (0.7787, 0.5574, 0.6340)  2 Si 1.62-1.63
O (0.6926, 0.8617, 0.5863)  1 Si 1.64
O (0.8309, 0.1383, 0.4137)  1 Si 1.64
O (0.3074, 0.1383, 0.4137)  1 Si 1.64
O (0.1691, 0.8617, 0.5863)  1 Si 1.64
O (0.8105, 0.6210, 0.3984)  1 Si 1.60
O (0.1895, 0.3790, 0.6016)  1 Si 1.60
O (0.4151, 0.8303, 0.3312)  1 Si 1.60
O (0.5849, 0.1697, 0.6688)  1 Si 1.60
O (0.4844, 0.4569, 0.8159)  1 Si 1.64
O (0.0275, 0.5431, 0.1841)  1 Si 1.64
O (0.5156, 0.5431, 0.1841)  1 Si 1.64
O (0.3516, 0.7031, 0.9924)  3 V 1.95-1.96
O (0.6484, 0.2969, 0.0076)  3 V 1.95-1.96
O (0.1445, 0.2890, 0.9817)  3 V 1.95-1.97
O (0.8555, 0.7110, 0.0183)  3 V 1.95-1.97
O (0.9725, 0.4569, 0.8159)  1 Si 1.64
O (0.2696, 0.0442, 0.1310)  2 V 1.98-2.00
O (0.7746, 0.0442, 0.1310)  2 V 1.98-2.00
O (0.7304, 0.9558, 0.8690)  2 V 1.98-2.00
O (0.2254, 0.9558, 0.8690)  2 V 1.98-2.00

Computed properties:
Crystal system: monoclinic
Symmetry: C2/m (12)

The following is a DFT calculation (GGA-PBEsol) of crystalline FeAsIr2 at its relaxed geometry.

a = 2.8441 Å, b = 3.4926 Å, c = 5.5718 Å
α = 90.00°, β = 90.00°, γ = 90.00°
Last column: nearest neighbours and their distance in Å.
Atoms (fractional coordinates):
As (0.5000, 0.5000, 0.0000)  8 Ir 2.68, 2 Fe 2.79, 2 As 2.84
Fe (0.5000, 0.5000, 0.5000)  8 Ir 2.62, 2 As 2.79, 2 Fe 2.84
Ir (0.0000, 0.0000, 0.7394)  4 Fe 2.62, 4 Ir 2.67-2.90, 4 As 2.68
Ir (0.0000, 0.0000, 0.2606)  4 Fe 2.62, 4 Ir 2.67-2.90, 4 As 2.68

Computed properties:
Formation enthalpy at 0 K (meV per atom): 117
Crystal system: orthorhombic
Symmetry: Pmmm (47)

The following is a DFT calculation (GGA-PBEsol) of crystalline LiCrC2 at its relaxed geometry.

a = 3.5021 Å, b = 3.5021 Å, c = 3.5021 Å
α = 60.00°, β = 60.00°, γ = 60.00°
Last column: nearest neighbours and their distance in Å.
Atoms (fractional coordinates):
Cr (0.5000, 0.5000, 0.5000)  8 C 2.14
C (0.2500, 0.2500, 0.2500)  4 Cr 2.14, 4 Li 2.14
C (0.7500, 0.7500, 0.7500)  4 Li 2.14, 4 Cr 2.14
Li (0.0000, 0.0000, 0.0000)  8 C 2.14

Computed properties:
Formation enthalpy at 0 K (meV per atom): 1053
Crystal system: cubic
Symmetry: Fm-3m (225)

The following is a DFT calculation (GGA-PBEsol) of crystalline NbSb2TeN at its relaxed geometry.

a = 5.3176 Å, b = 5.3176 Å, c = 5.2840 Å
α = 90.00°, β = 90.00°, γ = 90.00°
Last column: nearest neighbours and their distance in Å.
Atoms (fractional coordinates):
Sb (0.0000, 0.5000, 0.0000)  2 Nb 2.66
Sb (0.5000, 0.0000, 0.0000)  2 Nb 2.66
Nb (0.0000, 0.0000, 0.0000)  2 Te 2.64, 4 Sb 2.66
Te (0.0000, 0.0000, 0.5000)  2 Nb 2.64
N (0.5000, 0.5000, 0.5000)  8 Sb 3.75, 4 Te 3.76

Computed properties:
Crystal system: tetragonal
Relative energy among the computed polymorphs (kJ/mol of formula units): 327
Symmetry: P4/mmm (123)

The following is a DFT calculation (GGA-PBEsol) of crystalline NiOs2Pb at its relaxed geometry.

a = 2.9010 Å, b = 2.9010 Å, c = 7.3881 Å
α = 90.00°, β = 90.00°, γ = 90.00°
Last column: nearest neighbours and their distance in Å.
Atoms (fractional coordinates):
Ni (0.5000, 0.5000, 0.7729)  4 Os 2.64, 4 Pb 2.80, 4 Ni 2.90
Os (0.0000, 0.0000, 0.9987)  8 Os 2.59-2.90, 4 Ni 2.64
Os (0.5000, 0.5000, 0.2132)  8 Os 2.59-2.90
Pb (0.0000, 0.0000, 0.5152)  4 Ni 2.80, 4 Pb 2.90, 4 Os 3.03

Computed properties:
Formation enthalpy at 0 K (meV per atom): 550
Crystal system: tetragonal
Symmetry: P4mm (99)

The following is a DFT calculation (GGA-PBEsol) of crystalline Ca3Ru2N4 at its relaxed geometry.

a = 5.9049 Å, b = 8.4971 Å, c = 10.0722 Å
α = 90.00°, β = 90.00°, γ = 90.00°
Last column: nearest neighbours and their distance in Å.
Atoms (fractional coordinates):
Ca (0.3748, 0.5776, 0.8463)  3 N 2.31-2.46
Ca (0.1252, 0.5776, 0.1537)  3 N 2.31-2.46
Ca (0.3748, 0.9224, 0.6537)  3 N 2.31-2.46
Ca (0.1252, 0.9224, 0.3463)  3 N 2.31-2.46
Ca (0.6252, 0.4224, 0.1537)  3 N 2.31-2.46
Ca (0.8748, 0.4224, 0.8463)  3 N 2.31-2.46
Ca (0.6252, 0.0776, 0.3463)  3 N 2.31-2.46
Ca (0.8748, 0.0776, 0.6537)  3 N 2.31-2.46
Ca (0.2500, 0.5973, 0.5000)  6 N 2.47-2.68
Ca (0.2500, 0.9027, 0.0000)  6 N 2.47-2.68
Ca (0.7500, 0.4027, 0.5000)  6 N 2.47-2.68
Ca (0.7500, 0.0973, 0.0000)  6 N 2.47-2.68
Ru (0.2500, 0.2563, 0.5000)  4 N 1.96-2.01
Ru (0.2500, 0.2437, 0.0000)  4 N 1.96-2.01
Ru (0.7500, 0.7437, 0.5000)  4 N 1.96-2.01
Ru (0.7500, 0.7563, 0.0000)  4 N 1.96-2.01
Ru (0.3086, 0.2500, 0.7500)  4 N 1.95-2.09
Ru (0.1914, 0.2500, 0.2500)  4 N 1.95-2.09
Ru (0.6914, 0.7500, 0.2500)  4 N 1.95-2.09
Ru (0.8086, 0.7500, 0.7500)  4 N 1.95-2.09
N (0.0821, 0.3590, 0.6440)  2 Ru 1.95-1.96
N (0.4179, 0.3590, 0.3560)  2 Ru 1.95-1.96
N (0.0821, 0.1410, 0.8560)  2 Ru 1.95-1.96
N (0.4179, 0.1410, 0.1440)  2 Ru 1.95-1.96
N (0.9179, 0.6410, 0.3560)  2 Ru 1.95-1.96
N (0.5821, 0.6410, 0.6440)  2 Ru 1.95-1.96
N (0.9179, 0.8590, 0.1440)  2 Ru 1.95-1.96
N (0.5821, 0.8590, 0.8560)  2 Ru 1.95-1.96
N (0.5283, 0.1835, 0.5978)  2 Ru 2.01-2.09
N (0.9717, 0.1835, 0.4022)  2 Ru 2.01-2.09
N (0.5283, 0.3165, 0.9022)  2 Ru 2.01-2.09
N (0.9717, 0.3165, 0.0978)  2 Ru 2.01-2.09
N (0.4717, 0.8165, 0.4022)  2 Ru 2.01-2.09
N (0.0283, 0.8165, 0.5978)  2 Ru 2.01-2.09
N (0.4717, 0.6835, 0.0978)  2 Ru 2.01-2.09
N (0.0283, 0.6835, 0.9022)  2 Ru 2.01-2.09

Computed properties:
Crystal system: orthorhombic
Symmetry: Pnna (52)

The following is a DFT calculation (GGA-PBEsol) of crystalline InWBr3 at its relaxed geometry.

a = 5.1571 Å, b = 5.1571 Å, c = 5.1571 Å
α = 90.00°, β = 90.00°, γ = 90.00°
Last column: nearest neighbours and their distance in Å.
Atoms (fractional coordinates):
Br (0.0000, 0.5000, 0.0000)  2 W 2.58
Br (0.0000, 0.0000, 0.5000)  2 W 2.58
Br (0.5000, 0.0000, 0.0000)  2 W 2.58
W (0.0000, 0.0000, 0.0000)  6 Br 2.58
In (0.5000, 0.5000, 0.5000)  12 Br 3.65

Computed properties:
Crystal system: cubic
Symmetry: Pm-3m (221)

Number 1: raw total energy -14.31 eV for the cell shown, density of states at the Fermi level 2.7 states/eV/cell. Number 2: raw total energy -23.53 eV for the cell shown, density of states at the Fermi level 2.1 states/eV/cell. Number 3: raw total energy -17.03 eV for the cell shown, density of states at the Fermi level 4.1 states/eV/cell. Number 4: raw total energy -307.50 eV for the cell shown, density of states at the Fermi level 19.9 states/eV/cell. Number 5: raw total energy -33.25 eV for the cell shown, density of states at the Fermi level 3.2 states/eV/cell. Number 6: raw total energy -27.29 eV for the cell shown, density of states at the Fermi level 2.4 states/eV/cell. Number 7: raw total energy -25.61 eV for the cell shown, density of states at the Fermi level 3.7 states/eV/cell. Number 8: raw total energy -32.39 eV for the cell shown, density of states at the Fermi level 3.5 states/eV/cell. Number 9: raw total energy -263.35 eV for the cell shown, density of states at the Fermi level 24.1 states/eV/cell. Number 10: raw total energy -21.32 eV for the cell shown, density of states at the Fermi level 2.9 states/eV/cell.